Computed, not measured: crystalline ThTaAs2 at its relaxed geometry at the GGA-PBE level of DFT.

Values from the calculation:
ΔH_f (0 K): 0.33 eV/atom

Cell lengths 4.0154, 4.0154, 25.6005 Å; angles 90.00, 90.00, 120.00 degrees
Space group R-3m (No. 166, hexagonal axes)
Inequivalent atoms, fractional coordinates:
Th 0.0000 0.0000 0.0000
Ta 0.0000 0.0000 0.5000
As 0.0000 0.0000 0.4036

=====

Computed, not measured: crystalline TaTi2As2 at its relaxed geometry at the GGA-PBE level of DFT.

Values from the calculation:
ΔH_f (0 K): -0.72 eV/atom

Cell lengths 3.588, 14.465, 6.582 Å; angles 90.00, 90.00, 90.00 degrees
Space group Cmc2_1 (No. 36)
Inequivalent atoms, fractional coordinates:
Ta 0.000 0.133 0.000
Ti 0.000 0.326 0.161
Ti 0.000 0.469 0.838
As 0.000 0.046 0.622
As 0.000 0.295 0.770

=====

Computed, not measured: crystalline TaTi2As3 at its relaxed geometry at the GGA-PBE level of DFT.

Values from the calculation:
ΔH_f (0 K): -0.67 eV/atom

Cell lengths 3.492, 9.861, 6.095 Å; angles 90.00, 90.00, 90.00 degrees
Space group Pmc2_1 (No. 26)
Inequivalent atoms, fractional coordinates:
Ta 0.000 0.114 0.000
Ti 0.000 0.208 0.476
Ti 0.500 0.470 0.490
As 0.000 0.378 0.782
As 0.500 0.062 0.670
As 0.500 0.286 0.186

=====

Computed, not measured: crystalline TaTi2As2 at its relaxed geometry at the GGA-PBE level of DFT.

Values from the calculation:
ΔH_f (0 K): -0.69 eV/atom

Cell lengths 6.907, 6.907, 3.423 Å; angles 90.00, 90.00, 90.00 degrees
Space group P4/mbm (No. 127)
Inequivalent atoms, fractional coordinates:
Ta 0.000 0.000 0.000
Ti 0.152 0.348 0.500
As 0.146 0.646 0.000